No. 1
DFT (PBE) results for LiTlSi after structural relaxation.

Structure (extended XYZ):
```
6
Lattice="3.673 0.000 0.000 -1.565 5.575 0.000 -0.252 -2.113 6.574" Properties=species:S:1:pos:R:3 pbc="T T T"
Li -0.019 1.373 1.029
Li 1.875 2.089 5.545
Tl 0.361 4.344 1.393
Tl 1.495 -0.882 5.181
Si 0.012 2.419 3.473
Si 1.844 1.043 3.101
```


No. 2
DFT (PBE) results for HfHgOs2I after structural relaxation.

Structure (extended XYZ):
```
5
Lattice="4.813 0.000 0.000 0.000 4.813 0.000 0.000 0.000 5.253" Properties=species:S:1:pos:R:3 pbc="T T T"
Hf 0.000 0.000 0.000
Hg 2.407 2.407 0.000
Os 0.000 2.407 2.627
Os 2.407 0.000 2.627
I 2.407 2.407 2.627
```


Number 1: uncorrected formation energy 0.0 eV/f.u., magnetic moment 0.00 μB per cell. Number 2: uncorrected formation energy 11.1 eV/f.u., magnetic moment 0.37 μB per cell.